Co2O3F: optimized geometry, PBE with a Hubbard U.

ΔE to the lowest computed polymorph: 0.007 eV per atom
Symmetry: Amm2, No. 38
N(E_F): 0.244 states/eV per atom
Volume: 284 Å³/cell
Mass density: 5.4 Mg/m³

Structure (CIF):
```
data_Co2O3F
_cell_length_a 14.816
_cell_length_b 4.379
_cell_length_c 4.379
_cell_angle_alpha 87.55
_cell_angle_beta 90.00
_cell_angle_gamma 90.00
_space_group_name_H-M_alt 'P 1'
_space_group_IT_number 1
_space_group_name_Hall 'P 1'
loop_
_atom_site_label
_atom_site_type_symbol
_atom_site_fract_x
_atom_site_fract_y
_atom_site_fract_z
_atom_site_occupancy
Co1 Co 0.000 0.000 0.000 1
Co2 Co 0.100 0.526 0.526 1
Co3 Co 0.200 0.051 0.051 1
Co4 Co 0.300 0.526 0.526 1
Co5 Co 0.399 0.000 0.000 1
Co6 Co 0.500 0.533 0.533 1
Co7 Co 0.601 0.000 0.000 1
Co8 Co 0.700 0.526 0.526 1
Co9 Co 0.800 0.051 0.051 1
Co10 Co 0.900 0.526 0.526 1
O1 O 0.000 0.716 0.716 1
O2 O 0.100 0.220 0.831 1
O3 O 0.100 0.831 0.220 1
O4 O 0.200 0.335 0.335 1
O5 O 0.300 0.221 0.834 1
O6 O 0.300 0.834 0.221 1
O7 O 0.398 0.717 0.717 1
O8 O 0.500 0.203 0.812 1
O9 O 0.500 0.812 0.203 1
O10 O 0.602 0.717 0.717 1
O11 O 0.700 0.221 0.834 1
O12 O 0.700 0.834 0.221 1
O13 O 0.800 0.335 0.335 1
O14 O 0.900 0.220 0.831 1
O15 O 0.900 0.831 0.220 1
F1 F 0.000 0.305 0.305 1
F2 F 0.200 0.746 0.746 1
F3 F 0.402 0.308 0.308 1
F4 F 0.598 0.308 0.308 1
F5 F 0.800 0.746 0.746 1
```

Co2OF3: optimized geometry, PBE with a Hubbard U.

ΔE to the lowest computed polymorph: 0.001 eV per atom
Symmetry: Amm2, No. 38
N(E_F): 0.061 states/eV per atom
Volume: 344 Å³/cell
Mass density: 4.6 Mg/m³

Structure (CIF):
```
data_Co2OF3
_cell_length_a 15.483
_cell_length_b 4.718
_cell_length_c 4.718
_cell_angle_alpha 93.18
_cell_angle_beta 90.00
_cell_angle_gamma 90.00
_space_group_name_H-M_alt 'P 1'
_space_group_IT_number 1
_space_group_name_Hall 'P 1'
loop_
_atom_site_label
_atom_site_type_symbol
_atom_site_fract_x
_atom_site_fract_y
_atom_site_fract_z
_atom_site_occupancy
Co1 Co 0.000 0.000 0.000 1
Co2 Co 0.100 0.533 0.533 1
Co3 Co 0.200 0.068 0.068 1
Co4 Co 0.302 0.518 0.518 1
Co5 Co 0.399 0.061 0.061 1
Co6 Co 0.500 0.542 0.542 1
Co7 Co 0.601 0.061 0.061 1
Co8 Co 0.698 0.518 0.518 1
Co9 Co 0.800 0.068 0.068 1
Co10 Co 0.900 0.533 0.533 1
O1 O 0.000 0.718 0.718 1
O2 O 0.198 0.339 0.339 1
O3 O 0.393 0.359 0.359 1
O4 O 0.607 0.359 0.359 1
O5 O 0.802 0.339 0.339 1
F1 F 0.000 0.314 0.314 1
F2 F 0.098 0.217 0.833 1
F3 F 0.098 0.833 0.217 1
F4 F 0.205 0.748 0.748 1
F5 F 0.294 0.243 0.845 1
F6 F 0.294 0.845 0.243 1
F7 F 0.396 0.752 0.752 1
F8 F 0.500 0.250 0.857 1
F9 F 0.500 0.857 0.250 1
F10 F 0.604 0.752 0.752 1
F11 F 0.706 0.243 0.845 1
F12 F 0.706 0.845 0.243 1
F13 F 0.795 0.748 0.748 1
F14 F 0.902 0.217 0.833 1
F15 F 0.902 0.833 0.217 1
```